[1]
Cd5In4Hg6 | Alexandria via LeMat-Bulk | PBE | optimized geometry; raw total energy = -1.13 eV per atom; SG = Cmc2_1, No. 36
1.0
1.851 -13.002 0.000
1.851 13.002 0.000
0.000 0.000 15.960
Cd In Hg
10 8 12
direct
0.028 0.972 0.500
0.140 0.860 0.835
0.142 0.858 0.162
0.207 0.793 0.497
0.323 0.677 0.498
0.677 0.323 0.998
0.793 0.207 0.997
0.858 0.142 0.662
0.860 0.140 0.335
0.972 0.028 0.000
0.332 0.668 0.826
0.334 0.666 0.169
0.466 0.534 0.650
0.467 0.533 0.349
0.533 0.467 0.849
0.534 0.466 0.150
0.666 0.334 0.669
0.668 0.332 0.326
0.065 0.935 0.684
0.066 0.934 0.314
0.084 0.916 0.999
0.263 0.737 0.663
0.265 0.735 0.333
0.385 0.615 0.997
0.615 0.385 0.497
0.735 0.265 0.833
0.737 0.263 0.163
0.916 0.084 0.499
0.934 0.066 0.814
0.935 0.065 0.184

=====

[2]
SnPCl2F | Alexandria via LeMat-Bulk | PBE | optimized geometry; raw total energy = -3.21 eV per atom; SG = P4/mmm, No. 123
1.0
5.521 0.000 0.000
0.000 5.521 0.000
0.000 0.000 3.685
Sn P Cl F
1 1 2 1
direct
0.000 0.000 0.000
0.500 0.500 0.000
0.000 0.500 0.500
0.500 0.000 0.500
0.500 0.500 0.500

=====

What did the first record say?
Cd5In4Hg6 | Alexandria via LeMat-Bulk | PBE | optimized geometry; raw total energy = -1.13 eV per atom; SG = Cmc2_1, No. 36
1.0
1.851 -13.002 0.000
1.851 13.002 0.000
0.000 0.000 15.960
Cd In Hg
10 8 12
direct
0.028 0.972 0.500
0.140 0.860 0.835
0.142 0.858 0.162
0.207 0.793 0.497
0.323 0.677 0.498
0.677 0.323 0.998
0.793 0.207 0.997
0.858 0.142 0.662
0.860 0.140 0.335
0.972 0.028 0.000
0.332 0.668 0.826
0.334 0.666 0.169
0.466 0.534 0.650
0.467 0.533 0.349
0.533 0.467 0.849
0.534 0.466 0.150
0.666 0.334 0.669
0.668 0.332 0.326
0.065 0.935 0.684
0.066 0.934 0.314
0.084 0.916 0.999
0.263 0.737 0.663
0.265 0.735 0.333
0.385 0.615 0.997
0.615 0.385 0.497
0.735 0.265 0.833
0.737 0.263 0.163
0.916 0.084 0.499
0.934 0.066 0.814
0.935 0.065 0.184

=====

Among the records above, which one has the lowest raw total energy? SnPCl2F

=====

Among the records above, which one has the lowest raw total energy? SnPCl2F

=====

Which of these has the highest raw total energy? Cd5In4Hg6